## RbCaI2Cl (PBE)

Data for an optimized crystal structure of RbCaI2Cl. Values from VASP.

```
&SYSTEM
  ibrav = 0, nat = 10, ntyp = 4
/
ATOMIC_SPECIES
Rb 85.47 Rb.upf
Cl 35.45 Cl.upf
Ca 40.08 Ca.upf
I 126.90 I.upf
ATOMIC_POSITIONS angstrom
Rb 3.551 1.078 6.271
Cl 3.551 3.045 3.374
Ca 3.551 0.947 1.790
I 3.551 7.260 1.023
Cl 1.184 3.079 7.128
Ca 1.184 5.178 8.713
I 3.551 6.426 6.992
I 1.184 -1.136 9.480
Rb 1.184 5.046 4.232
I 1.184 -0.302 3.511
CELL_PARAMETERS angstrom
4.735 0.000 0.000
0.000 9.139 0.844
0.000 -3.015 9.659
```

Output
DFT total energy (eV/atom): -3.36
Total moment (μB per formula unit): 0.00
Formation energy from raw total energies (eV per atom): -1.78

***

## Rb2CaI6Cl (PBE)

Data for an optimized crystal structure of Rb2CaI6Cl. Values from VASP.

```
&SYSTEM
  ibrav = 0, nat = 10, ntyp = 4
/
ATOMIC_SPECIES
I 126.90 I.upf
Ca 40.08 Ca.upf
Rb 85.47 Rb.upf
Cl 35.45 Cl.upf
ATOMIC_POSITIONS angstrom
I -8.637 -5.307 1.005
Ca 0.000 0.000 0.000
I -2.571 -1.580 0.299
I -12.904 -4.235 0.737
Rb -9.977 -2.093 3.700
I -5.642 -2.718 4.155
I -6.980 -1.292 0.192
Cl -5.604 -3.443 0.652
Rb -9.907 -3.433 -2.772
I -5.566 -4.169 -2.850
CELL_PARAMETERS angstrom
-5.534 -4.784 -5.820
-5.675 -2.103 7.124
-8.675 1.360 -0.376
```

Output
DFT total energy (eV/atom): -2.39
Total moment (μB per formula unit): 1.00
Formation energy from raw total energies (eV per atom): -0.88